No. 1
Entry from Alexandria via LeMat-Bulk: crystalline Ta2MnNbH at its relaxed geometry (PBE-GGA).

Properties
DOS(E_F)   3.41 states/eV per cell
Symmetry   P4/mmm (123)
Uncorrected energy   -46.59 eV per formula unit

Cell: 4.5088 4.5088 3.3254 Å, 90.00 90.00 90.00°
Closest atoms and distances in Å follow each position.
Atoms (fractional coordinates):
Ta (0.0000, 0.5000, 0.0000)  2 H 2.25
Ta (0.5000, 0.0000, 0.0000)  2 H 2.25
Mn (0.0000, 0.0000, 0.5000)  2 H 1.66
H (0.0000, 0.0000, 0.0000)  2 Mn 1.66
Nb (0.5000, 0.5000, 0.5000)  8 Ta 2.80


No. 2
Entry from Alexandria via LeMat-Bulk: crystalline Mn2NbTcH at its relaxed geometry (PBE-GGA).

Properties
E above lowest polymorph   3 meV per atom
DOS(E_F)   5.65 states/eV per cell
Symmetry   P4/mmm (123)

Cell: 3.7822 3.7822 3.9609 Å, 90.00 90.00 90.00°
Closest atoms and distances in Å follow each position.
Atoms (fractional coordinates):
H (0.0000, 0.0000, 0.0000)  4 Mn 1.89, 2 Nb 1.98
Nb (0.0000, 0.0000, 0.5000)  2 H 1.98
Tc (0.5000, 0.5000, 0.5000)  4 Nb 2.67, 8 Mn 2.74
Mn (0.5000, 0.0000, 0.0000)  2 H 1.89
Mn (0.0000, 0.5000, 0.0000)  2 H 1.89


No. 3
Entry from Alexandria via LeMat-Bulk: crystalline Mn2NbTcH at its relaxed geometry (PBE-GGA).

Properties
E above lowest polymorph   689 meV per atom
DOS(E_F)   4.95 states/eV per cell
Symmetry   P4/mmm (123)

Cell: 4.5980 3.2781 4.5980 Å, 90.00 90.00 90.00°
Closest atoms and distances in Å follow each position.
Atoms (fractional coordinates):
Nb (0.5000, 0.5000, 0.5000)  8 Mn 2.82
Mn (0.0000, 0.0000, 0.5000)  2 Tc 2.30
Mn (0.5000, 0.0000, 0.0000)  2 Tc 2.30
H (0.0000, 0.5000, 0.0000)  2 Tc 1.64
Tc (0.0000, 0.0000, 0.0000)  2 H 1.64


No. 4
Entry from Alexandria via LeMat-Bulk: crystalline MnNbTc2H at its relaxed geometry (PBE-GGA).

Properties
DOS(E_F)   5.21 states/eV per cell
Symmetry   P4/mmm (123)
Uncorrected energy   -43.06 eV per formula unit

Cell: 3.9759 3.9759 3.8208 Å, 90.00 90.00 90.00°
Closest atoms and distances in Å follow each position.
Atoms (fractional coordinates):
Tc (0.5000, 0.0000, 0.0000)  2 H 1.99
Tc (0.0000, 0.5000, 0.0000)  2 H 1.99
Nb (0.5000, 0.5000, 0.5000)  8 Tc 2.76, 4 Mn 2.81
Mn (0.0000, 0.0000, 0.5000)  2 H 1.91
H (0.0000, 0.0000, 0.0000)  2 Mn 1.91, 4 Tc 1.99


No. 5
Entry from Alexandria via LeMat-Bulk: crystalline Mn2NbTcH at its relaxed geometry (PBE-GGA).

Properties
E above lowest polymorph   0 meV per atom
DOS(E_F)   6.19 states/eV per cell
Symmetry   P4/mmm (123)

Cell: 3.8147 3.8147 3.8911 Å, 90.00 90.00 90.00°
Closest atoms and distances in Å follow each position.
Atoms (fractional coordinates):
H (0.0000, 0.0000, 0.0000)  4 Mn 1.91, 2 Tc 1.95
Tc (0.0000, 0.0000, 0.5000)  2 H 1.95
Mn (0.5000, 0.0000, 0.0000)  2 H 1.91
Mn (0.0000, 0.5000, 0.0000)  2 H 1.91
Nb (0.5000, 0.5000, 0.5000)  4 Tc 2.70, 8 Mn 2.72


No. 6
Entry from Alexandria via LeMat-Bulk: crystalline TiMnNbH2 at its relaxed geometry (PBE-GGA).

Properties
DOS(E_F)   1.69 states/eV per cell
Symmetry   P4/mmm (123)
Uncorrected energy   -30.29 eV per formula unit

Cell: 3.4457 5.4424 3.4457 Å, 90.00 90.00 90.00°
Closest atoms and distances in Å follow each position.
Atoms (fractional coordinates):
Ti (0.0000, 0.0000, 0.0000)  4 H 1.72
H (0.5000, 0.0000, 0.0000)  2 Ti 1.72
H (0.0000, 0.0000, 0.5000)  2 Ti 1.72
Mn (0.5000, 0.5000, 0.5000)  4 Nb 2.44
Nb (0.0000, 0.5000, 0.0000)  4 Mn 2.44, 2 Ti 2.72